VASP calculation (PBE) on Sr2TaSnAu after structural relaxation.

```
Sr2TaSnAu
1.0
6.227 0.000 0.000
0.000 6.227 0.000
0.000 0.000 5.275
Sr Ta Sn Au
2 1 1 1
Direct
0.000 0.500 0.000
0.500 0.000 0.000
0.000 0.000 0.500
0.000 0.000 0.000
0.500 0.500 0.500
```

Calculated values
Its crystal system is tetragonal. For the total energy, the calculation gives -3.83 eV per atom. For the energy of formation from the pure elements, the calculation gives 0.67 eV per atom.